Entry 1:
This record from Alexandria via LeMat-Bulk describes an optimized crystal structure of Al3Co. The functional is PBE-GGA.

N(E_F): 2.297 states/eV/f.u.
E_tot: -19.063 eV/f.u.
spin magnetization: 0.0648 μB per atom
formation energy: -0.18 eV per atom
space group: No. 166

a b c (Å): 8.4436 8.4436 8.4436
angles (deg): 19.30 19.30 19.30
Last column: nearest neighbours and their distance in Å.
Fractional positions:
Co: 0.0000 0.0000 0.0000  6 Al 2.44
Al: 0.7394 0.7394 0.7394  3 Co 2.44
Al: 0.5000 0.5000 0.5000  12 Al 2.83-2.85
Al: 0.2606 0.2606 0.2606  3 Co 2.44



Entry 2:
This record from Alexandria via LeMat-Bulk describes an optimized crystal structure of ReIrRh. The functional is PBE-GGA.

N(E_F): 3.206 states/eV/f.u.
ΔE to the lowest computed polymorph: 51 meV per atom
E_tot: -28.951 eV/f.u.
spin magnetization: 0.0000 μB per atom
formation energy: -0.10 eV per atom
space group: No. 156

a b c (Å): 2.7339 2.7339 6.7521
angles (deg): 90.00 90.00 120.00
Last column: nearest neighbours and their distance in Å.
Fractional positions:
Re: 0.3333 0.6667 0.3322  3 Ir 2.70, 3 Rh 2.72, 6 Re 2.73
Ir: 0.0000 0.0000 0.0074  3 Re 2.70, 6 Ir 2.73, 3 Rh 2.82
Rh: 0.6667 0.3333 0.6604  3 Re 2.72, 6 Rh 2.73, 3 Ir 2.82



Entry 3:
This record from Alexandria via LeMat-Bulk describes an optimized crystal structure of HfSc2RuN. The functional is PBE-GGA.

ΔE_f (raw): -863 meV per atom
N(E_F): 4.331 states/eV/f.u.
E_tot: -44.530 eV/f.u.
spin magnetization: 0.0000 μB per atom
space group: No. 123

a b c (Å): 4.2774 4.2774 4.4919
angles (deg): 90.00 90.00 90.00
Last column: nearest neighbours and their distance in Å.
Fractional positions:
Hf: 0.0000 0.0000 0.5000  2 N 2.25
Sc: 0.0000 0.5000 0.0000  2 N 2.14
Sc: 0.5000 0.0000 0.0000  2 N 2.14
Ru: 0.5000 0.5000 0.5000  4 Hf 3.02, 8 Sc 3.10
N: 0.0000 0.0000 0.0000  4 Sc 2.14, 2 Hf 2.25